## La2H12PtRh3 (PBE-GGA)

Data for La2H12PtRh3 after structural relaxation.

Output
**Density of states at the Fermi level**: 0.41 states/eV per atom
**Total DFT energy (no corrections)**: -4.648 eV/atom

Cell: 6.2247 6.2247 15.1842 Å, 90.00 90.00 120.00°
Closest atoms and distances in Å follow each position.
Space group R-3m (No. 166, hexagonal axes)
One atom of each set of equivalent atoms:
1 La 0.0000 0.0000 0.1219  6 H 2.48-2.51
2 H 0.0416 0.5208 0.1133  1 Rh 1.74, 1 Pt 1.77
3 H 0.0458 0.5229 0.3632  2 Rh 1.75
4 Pt 0.0000 0.0000 0.5000  6 H 1.77
5 Rh 0.0000 0.5000 0.0000  6 H 1.74-1.75